A plane-wave DFT calculation with GGA-PBE was carried out for a geometry-optimized Na2SmHfS4 structure.

The structure in extended XYZ format:
```
8
Lattice="3.838 0.000 0.000 0.000 6.720 0.115 0.000 -2.318 6.711" Properties=species:S:1:pos:R:3 pbc="T T T"
S 0.000 4.606 1.639
S 1.919 0.980 1.511
S 1.919 3.423 5.315
S 0.000 -0.203 5.187
Na 0.000 2.201 3.413
Na 1.919 -1.159 3.356
Hf 0.000 0.000 0.000
Sm 1.919 3.360 0.057
```

Properties
Calculated volume ... 174.12 Å³/cell
Calculated density ... 4.80 Mg/m³
Total energy ... -46.63 eV per cell
M_tot ... 0.00 μB/f.u.